1.
VASP calculation (PBE) on a relaxed V2IrRu crystal.

energy = -37.4 eV/cell

Cell: 2.7092 4.1449 5.1026 Å, 90.00 103.92 90.00°
With the nearest neighbours (Å) after each atom.
Space group Pm (No. 6)
Asymmetric unit:
V 0.0000 0.0000 0.0000 (multiplicity 1)  2 Ir 2.52, 2 Ru 2.56-2.65, 4 V 2.57-2.71
V 0.1381 0.5000 0.7297 (multiplicity 1)  2 Ru 2.49, 4 V 2.57-2.71, 2 Ir 2.57-2.63
Ir 0.7255 0.5000 0.2064 (multiplicity 1)  4 V 2.52-2.63, 2 Ir 2.71
Ru 0.4003 0.0000 0.5276 (multiplicity 1)  4 V 2.49-2.65, 2 Ru 2.71



2.
VASP calculation (PBE) on a relaxed V9Ir11Ru4 crystal.

energy = -449.1 eV/cell

Cell: 12.7740 19.5187 2.7301 Å, 90.00 90.00 90.00°
With the nearest neighbours (Å) after each atom.
Space group Cmmm (No. 65)
Asymmetric unit:
V 0.0000 0.0000 0.0000 (multiplicity 2)  4 Ir 2.73, 2 V 2.73, 4 Ru 2.78
V 0.1101 0.4042 0.0000 (multiplicity 8)  8 Ir 2.59-2.71, 3 V 2.73-2.81, 1 Ru 2.78
V 0.1126 0.2157 0.0000 (multiplicity 8)  1 Ru 2.63, 8 Ir 2.63-2.74, 3 V 2.73-2.88
Ir 0.0000 0.1209 0.5000 (multiplicity 4)  4 Ru 2.68, 6 V 2.71-2.73, 2 Ir 2.73
Ir 0.0000 0.3080 0.5000 (multiplicity 4)  8 V 2.68-2.71, 4 Ir 2.73-2.79
Ir 0.0000 0.5000 0.5000 (multiplicity 2)  4 Ir 2.64-2.73, 8 V 2.71
Ir 0.2064 0.5000 0.5000 (multiplicity 4)  4 V 2.62, 3 Ir 2.64-2.73, 4 Ru 2.67
Ir 0.2179 0.3159 0.5000 (multiplicity 8)  6 V 2.59-2.74, 4 Ir 2.70-2.79, 2 Ru 2.72
Ru 0.1726 0.0869 0.0000 (multiplicity 8)  3 V 2.63-2.78, 6 Ir 2.67-2.72, 2 Ru 2.73



3.
VASP calculation (PBE) on a relaxed V2IrRu3 crystal.

ΔE to the lowest computed polymorph = 102 meV/atom

Cell: 12.6719 4.2840 7.4101 Å, 90.00 123.29 90.00°
With the nearest neighbours (Å) after each atom.
Space group C2/m (No. 12)
Asymmetric unit:
V 0.0343 0.0000 0.1864 (multiplicity 4)  1 V 2.40, 4 Ru 2.40-2.59, 2 Ir 2.60
V 0.2113 0.5000 0.5642 (multiplicity 4)  3 Ru 2.46-2.62, 1 Ir 2.67, 3 V 2.70-2.73
Ir 0.1375 0.5000 0.1509 (multiplicity 4)  5 V 2.60-2.88, 6 Ru 2.64-2.89
Ru 0.0341 0.5000 0.7069 (multiplicity 4)  3 V 2.59-2.62, 6 Ru 2.69-2.89, 2 Ir 2.79-2.89
Ru 0.1163 0.0000 0.5653 (multiplicity 4)  3 V 2.40-2.46, 1 Ru 2.55, 1 Ir 2.64
Ru 0.1949 0.0000 0.9890 (multiplicity 4)  1 V 2.44, 3 Ru 2.51-2.72



4.
VASP calculation (PBE) on a relaxed V2Ir3Ru3 crystal.

energy = -75.2 eV/cell

Cell: 3.8188 3.8190 7.6594 Å, 90.00 90.00 90.00°
With the nearest neighbours (Å) after each atom.
Space group Pmmm (No. 47)
Asymmetric unit:
V 0.0000 0.0000 0.2488 (multiplicity 2)  6 Ru 2.70-2.71, 6 Ir 2.70-2.71
Ir 0.0000 0.5000 0.5000 (multiplicity 1)  4 Ru 2.70, 4 Ir 2.71, 4 V 2.71
Ir 0.5000 0.5000 0.2496 (multiplicity 2)  4 V 2.70, 6 Ru 2.70-2.71, 2 Ir 2.71
Ru 0.0000 0.5000 0.0000 (multiplicity 1)  4 V 2.70, 4 Ru 2.70, 4 Ir 2.70
Ru 0.5000 0.0000 0.0000 (multiplicity 1)  4 V 2.70, 4 Ru 2.70, 4 Ir 2.70
Ru 0.5000 0.0000 0.5000 (multiplicity 1)  8 Ir 2.70-2.71, 4 V 2.71



5.
VASP calculation (PBE) on a relaxed V3Ir3Ru2 crystal.

energy = -147.6 eV/cell

Cell: 11.8664 4.3346 4.6819 Å, 90.00 109.06 90.00°
With the nearest neighbours (Å) after each atom.
Space group C2/m (No. 12)
Asymmetric unit:
V 0.0000 0.0000 0.0000 (multiplicity 2)  2 V 2.41, 4 Ir 2.63
V 0.1320 0.0000 0.7040 (multiplicity 4)  1 V 2.41, 3 Ru 2.57-2.61, 3 Ir 2.66
Ir 0.0000 0.5000 0.5000 (multiplicity 2)  4 Ir 2.63-2.90, 4 V 2.66, 2 Ru 2.79
Ir 0.1313 0.5000 0.0738 (multiplicity 4)  5 V 2.63-2.78, 2 Ir 2.63-2.90, 4 Ru 2.65-2.71
Ru 0.2482 0.5000 0.6635 (multiplicity 4)  4 V 2.57-2.84, 5 Ir 2.65-2.79, 2 Ru 2.66



6.
VASP calculation (PBE) on a relaxed V2IrRu crystal.

energy = -75.0 eV/cell

Cell: 2.9461 4.3108 8.6758 Å, 90.00 90.00 90.00°
With the nearest neighbours (Å) after each atom.
Space group Imm2 (No. 44)
Asymmetric unit:
V 0.0000 0.0000 0.0000 (multiplicity 2)  2 V 2.48, 2 Ru 2.57, 4 Ir 2.62
V 0.0000 0.5000 0.2707 (multiplicity 2)  2 V 2.48, 2 Ir 2.61, 4 Ru 2.62
Ir 0.0000 0.0000 0.5223 (multiplicity 2)  6 V 2.61-2.62, 4 Ru 2.84-2.88
Ru 0.0000 0.5000 0.7428 (multiplicity 2)  6 V 2.57-2.62, 2 Ir 2.84



7.
VASP calculation (PBE) on a relaxed VIr2Ru3 crystal.

energy = -107.1 eV/cell

Cell: 5.0987 5.0987 7.7292 Å, 90.00 90.00 120.00°
With the nearest neighbours (Å) after each atom.
Space group P6_3/mmc (No. 194)
Asymmetric unit:
V 0.0000 0.0000 0.0000 (multiplicity 2)  6 Ru 2.46
Ir 0.3333 0.6667 0.0778 (multiplicity 4)  1 Ir 2.66, 9 Ru 2.88-2.90
Ru 0.1726 0.3452 0.7500 (multiplicity 6)  4 Ru 2.46-2.64, 2 V 2.46



8.
VASP calculation (PBE) on a relaxed VIr2Ru2 crystal.

energy = -178.4 eV/cell

Cell: 7.4171 7.4171 5.5121 Å, 90.00 90.00 90.00°
With the nearest neighbours (Å) after each atom.
Space group P4/mnc (No. 128)
Asymmetric unit:
V 0.0000 0.0000 0.2165 (multiplicity 4)  1 V 2.39
Ir 0.1248 0.3752 0.2500 (multiplicity 8)  6 Ru 2.52-2.66, 3 Ir 2.62-2.76
Ru 0.1682 0.6790 0.0000 (multiplicity 8)  6 Ir 2.52-2.66, 2 Ru 2.76



9.
VASP calculation (PBE) on a relaxed V2Ir5Ru5 crystal.

energy = -111.0 eV/cell

Cell: 4.6937 4.7007 8.9789 Å, 79.74 84.76 60.07°
With the nearest neighbours (Å) after each atom.
Space group P-1 (No. 2)
Asymmetric unit:
V 0.1670 0.4168 0.2487 (multiplicity 2)  6 Ir 2.68-2.72, 6 Ru 2.69-2.74
Ir 0.1638 0.9178 0.7488 (multiplicity 2)  6 Ru 2.68-2.72, 3 Ir 2.70-2.72, 3 V 2.70-2.72
Ir 0.1663 0.1706 0.9983 (multiplicity 2)  2 V 2.68-2.71, 5 Ir 2.69-2.74, 5 Ru 2.69-2.76
Ir 0.5000 0.0000 0.5000 (multiplicity 1)  2 Ir 2.70, 8 Ru 2.71, 2 V 2.72
Ru 0.1663 0.6652 0.5032 (multiplicity 2)  5 Ru 2.66-2.72, 5 Ir 2.68-2.72, 2 V 2.69-2.74
Ru 0.4940 0.2561 0.7482 (multiplicity 2)  3 Ru 2.66-2.72, 3 V 2.69-2.74, 6 Ir 2.69-2.76
Ru 0.5000 0.5000 0.0000 (multiplicity 1)  2 V 2.69, 8 Ir 2.70-2.73, 2 Ru 2.72



10.
VASP calculation (PBE) on a relaxed V4Ir7Ru crystal.

energy = -211.8 eV/cell

Cell: 11.5806 4.4952 9.1551 Å, 90.00 127.68 90.00°
With the nearest neighbours (Å) after each atom.
Space group C2/m (No. 12)
Asymmetric unit:
V 0.0731 0.0000 0.2831 (multiplicity 4)  7 Ir 2.42-2.67
V 0.2140 0.0000 0.8384 (multiplicity 4)  5 Ir 2.36-2.59
Ir 0.0000 0.0000 0.5000 (multiplicity 2)  2 Ru 2.25
Ir 0.0829 0.5000 0.8462 (multiplicity 4)  1 V 2.36
Ir 0.1500 0.0000 0.0895 (multiplicity 4)  3 V 2.42-2.59
Ir 0.2122 0.5000 0.3678 (multiplicity 4)  4 V 2.50-2.59, 2 Ir 2.71-2.76
Ru 0.0000 0.5000 0.5000 (multiplicity 2)  2 Ir 2.25